<w>
This record from Alexandria describes BaIr3O after structural relaxation. The functional is PBE.

Cell: 4.4536 4.4536 4.4536 Å, 90.00 90.00 90.00°
Closest atoms and distances in Å follow each position.
Atoms (fractional coordinates):
Ir 0.0000 0.5000 0.0000  2 O 2.23
Ir 0.0000 0.0000 0.5000  2 O 2.23
Ir 0.5000 0.0000 0.0000  2 O 2.23
Ba 0.5000 0.5000 0.5000  12 Ir 3.15
O 0.0000 0.0000 0.0000  6 Ir 2.23

Results
**Spin magnetization**: 0.0 μB/f.u.
**SG**: Pm-3m



<x>
This record from Alexandria describes BaIr3O after structural relaxation. The functional is PBE.

Cell: 5.2610 5.2610 5.2610 Å, 90.00 90.00 90.00°
Closest atoms and distances in Å follow each position.
Atoms (fractional coordinates):
Ir 0.0000 0.5000 0.0000  2 Ba 2.63
Ir 0.0000 0.0000 0.5000  2 Ba 2.63
Ir 0.5000 0.0000 0.0000  2 Ba 2.63
Ba 0.0000 0.0000 0.0000  6 Ir 2.63
O 0.5000 0.5000 0.5000  12 Ir 3.72

Results
**Spin magnetization**: 4.9 μB/f.u.
**SG**: Pm-3m



Which structure is most stable, and how do the rest compare? From most to least stable: <w>, <x>.



<w>
This record from Alexandria describes BaIr2O8 after structural relaxation. The functional is PBE.

Cell: 3.7563 6.8546 6.8546 Å, 125.74 90.30 90.30°
Closest atoms and distances in Å follow each position.
Atoms (fractional coordinates):
Ba 0.5000 0.0000 0.0000  12 O 2.88-3.18
Ir 0.0000 0.2579 0.7421  6 O 1.88-2.07
Ir 0.0000 0.7421 0.2579  6 O 1.88-2.07
O 0.9954 0.9152 0.6268  2 Ir 1.99-2.07
O 0.9954 0.6268 0.9152  2 Ir 1.99-2.07
O 0.3539 0.5463 0.5463  1 O 1.25
O 0.5000 0.7397 0.2603  2 Ir 1.88
O 0.5000 0.2603 0.7397  2 Ir 1.88
O 0.6461 0.4537 0.4537  1 O 1.25
O 0.0046 0.3732 0.0848  2 Ir 1.99-2.07
O 0.0046 0.0848 0.3732  2 Ir 1.99-2.07

Results
**Spin magnetization**: 1.9 μB/f.u.
**SG**: C2/m



<x>
This record from Alexandria describes BaIr2O8 after structural relaxation. The functional is PBE.

Cell: 4.7757 4.7757 6.6108 Å, 90.00 90.00 90.00°
Closest atoms and distances in Å follow each position.
Atoms (fractional coordinates):
Ba 0.5000 0.5000 0.5000  8 O 2.74
Ir 0.5000 0.0000 0.0000  8 O 2.05
Ir 0.0000 0.5000 0.0000  8 O 2.05
O 0.7524 0.7524 0.1755  2 Ir 2.05
O 0.7524 0.2476 0.8245  2 Ir 2.05
O 0.7524 0.7524 0.8245  2 Ir 2.05
O 0.7524 0.2476 0.1755  2 Ir 2.05
O 0.2476 0.7524 0.1755  2 Ir 2.05
O 0.2476 0.7524 0.8245  2 Ir 2.05
O 0.2476 0.2476 0.1755  2 Ir 2.05
O 0.2476 0.2476 0.8245  2 Ir 2.05

Results
**Spin magnetization**: 0.0 μB/f.u.
**SG**: P4/mmm



Which structure is most stable, and how do the rest compare? From most to least stable: <w>, <x>.



<w>
This record from Alexandria describes Ba2IrOs after structural relaxation. The functional is PBE.

Cell: 11.5884 11.5884 8.5390 Å, 47.27 47.27 90.00°
Closest atoms and distances in Å follow each position.
Atoms (fractional coordinates):
Ir 0.0000 0.0000 0.0000  2 Os 2.40
Ir 0.7500 0.2500 0.5000  2 Os 2.40
Os 0.5000 0.5000 0.0000  2 Ir 2.40
Os 0.2500 0.7500 0.5000  2 Ir 2.40
Ba 0.7974 0.1250 0.2500  2 Ir 3.09
Ba 0.9526 0.6250 0.2500  2 Ir 3.09
Ba 0.3750 0.2026 0.7500  2 Ir 3.09
Ba 0.8750 0.0474 0.7500  2 Ir 3.09

Results
**Spin magnetization**: 0.6 μB/f.u.
**SG**: I-42d



<x>
This record from Alexandria describes Ba2IrOs after structural relaxation. The functional is PBE.

Cell: 3.3434 4.3516 7.3814 Å, 90.00 90.00 90.00°
Closest atoms and distances in Å follow each position.
Atoms (fractional coordinates):
Ir 0.5000 0.5000 0.2500  8 Ba 3.28, 2 Ir 3.34
Os 0.5000 0.5000 0.7500  8 Ba 3.34, 2 Os 3.34, 2 Ir 3.69
Ba 0.0000 0.0000 0.0073  4 Ir 3.28, 4 Os 3.34, 3 Ba 3.34-3.58
Ba 0.0000 0.0000 0.4927  4 Ir 3.28, 4 Os 3.34, 3 Ba 3.34-3.58

Results
**Spin magnetization**: 1.6 μB/f.u.
**SG**: Pmmm



<y>
This record from Alexandria describes Ba2IrOs after structural relaxation. The functional is PBE.

Cell: 5.9643 5.9643 5.9643 Å, 134.28 123.35 75.64°
Closest atoms and distances in Å follow each position.
Atoms (fractional coordinates):
Ir 0.4026 0.4026 0.0000  2 Os 2.37
Os 0.3491 0.8491 0.5000  2 Ir 2.37
Ba 0.0278 0.0278 0.0000  2 Os 3.29, 2 Ba 3.36, 1 Ir 3.53
Ba 0.7204 0.2204 0.5000  2 Ir 3.31, 2 Ba 3.36, 1 Os 3.50

Results
**Spin magnetization**: 0.0 μB/f.u.
**SG**: Imm2



Which structure is most stable, and how do the rest compare? From most to least stable: <y>, <w>, <x>.



<w>
This record from Alexandria describes Ba2IrOs after structural relaxation. The functional is PBE.

Cell: 5.3631 5.3631 5.3631 Å, 60.00 60.00 60.00°
Closest atoms and distances in Å follow each position.
Atoms (fractional coordinates):
Ir 0.5000 0.5000 0.5000  8 Ba 3.28
Os 0.0000 0.0000 0.0000  8 Ba 3.28
Ba 0.2500 0.2500 0.2500  4 Os 3.28, 4 Ir 3.28
Ba 0.7500 0.7500 0.7500  4 Ir 3.28, 4 Os 3.28

Results
**Spin magnetization**: 1.0 μB/f.u.
**SG**: Fm-3m



<x>
This record from Alexandria describes Ba2IrOs after structural relaxation. The functional is PBE.

Cell: 5.2482 5.2482 5.2482 Å, 60.00 60.00 60.00°
Closest atoms and distances in Å follow each position.
Atoms (fractional coordinates):
Ir 0.5000 0.5000 0.5000  4 Os 3.21, 4 Ba 3.21
Os 0.7500 0.7500 0.7500  4 Ba 3.21, 4 Ir 3.21
Ba 0.0000 0.0000 0.0000  4 Ba 3.21, 4 Os 3.21
Ba 0.2500 0.2500 0.2500  4 Ba 3.21, 4 Ir 3.21

Results
**Spin magnetization**: 2.6 μB/f.u.
**SG**: F-43m



Which structure is most stable, and how do the rest compare? From most to least stable: <x>, <w>.



<w>
This record from Alexandria describes Ba2IrOs after structural relaxation. The functional is PBE.

Cell: 5.9135 5.9135 5.9135 Å, 133.89 133.89 67.27°
Closest atoms and distances in Å follow each position.
Atoms (fractional coordinates):
Ir 0.5000 0.5000 0.0000  8 Ba 3.28-3.38, 4 Os 3.38
Os 0.7500 0.2500 0.5000  8 Ba 3.28-3.38, 4 Ir 3.38
Ba 0.0000 0.0000 0.0000  4 Ir 3.28, 4 Os 3.38, 4 Ba 3.38
Ba 0.2500 0.7500 0.5000  4 Os 3.28, 4 Ba 3.38, 4 Ir 3.38

Results
**Spin magnetization**: 2.5 μB/f.u.
**SG**: I-4m2



<x>
This record from Alexandria describes Ba2IrOs after structural relaxation. The functional is PBE.

Cell: 7.8243 5.6989 3.3324 Å, 89.97 64.84 124.21°
Closest atoms and distances in Å follow each position.
Atoms (fractional coordinates):
Ir 0.0000 0.5000 0.5000  8 Ba 3.30, 2 Ir 3.33, 2 Os 3.54
Os 0.5000 0.5000 0.0000  8 Ba 3.30, 2 Os 3.33, 2 Ir 3.54
Ba 0.0000 0.0000 0.0000  4 Ir 3.30, 4 Os 3.30, 4 Ba 3.33-3.54
Ba 0.5000 0.0000 0.5000  4 Os 3.30, 4 Ir 3.30, 4 Ba 3.33-3.54

Results
**Spin magnetization**: 1.2 μB/f.u.
**SG**: Cmmm



<y>
This record from Alexandria describes Ba2IrOs after structural relaxation. The functional is PBE.

Cell: 5.6589 5.6589 5.6589 Å, 129.37 129.39 74.40°
Closest atoms and distances in Å follow each position.
Atoms (fractional coordinates):
Ir 0.7500 0.2500 0.5000  8 Ba 3.31, 4 Os 3.42
Os 0.2500 0.7500 0.5000  8 Ba 3.31, 4 Ir 3.42
Ba 0.9998 0.9998 0.0000  4 Os 3.31, 4 Ir 3.31, 4 Ba 3.42
Ba 0.5002 0.5002 0.0000  4 Os 3.31, 4 Ir 3.31, 4 Ba 3.42

Results
**Spin magnetization**: 1.4 μB/f.u.
**SG**: I4/mmm



<z>
This record from Alexandria describes Ba2IrOs after structural relaxation. The functional is PBE.

Cell: 5.2673 5.2673 6.2143 Å, 81.00 81.00 37.51°
Closest atoms and distances in Å follow each position.
Atoms (fractional coordinates):
Ir 0.7500 0.7500 0.7500  6 Ba 3.13-3.20, 2 Ir 3.39
Os 0.2500 0.2500 0.2500  6 Ba 3.16-3.19, 2 Os 3.39, 4 Ir 3.54
Ba 0.9989 0.9989 0.9989  3 Ir 3.13-3.20, 3 Os 3.16-3.19, 2 Ba 3.39
Ba 0.5011 0.5011 0.5011  3 Ir 3.13-3.20, 3 Os 3.16-3.19, 2 Ba 3.39

Results
**Spin magnetization**: 0.0 μB/f.u.
**SG**: C2/m



Which structure is most stable, and how do the rest compare? From most to least stable: <x>, <y>, <w>, <z>.



<w>
This record from Alexandria describes Ba2IrOs after structural relaxation. The functional is PBE.

Cell: 3.1776 3.9019 9.6705 Å, 90.00 90.00 90.00°
Closest atoms and distances in Å follow each position.
Atoms (fractional coordinates):
Ir 0.0000 0.0000 0.5855  4 Os 2.62
Os 0.5000 0.5000 0.6625  4 Ir 2.62
Ba 0.0000 0.0000 0.9102  1 Ir 3.14, 2 Ba 3.18, 4 Os 3.47
Ba 0.5000 0.5000 0.3418  1 Os 3.10, 2 Ba 3.18, 4 Ir 3.45

Results
**Spin magnetization**: 0.0 μB/f.u.
**SG**: Pmm2



<x>
This record from Alexandria describes Ba2IrOs after structural relaxation. The functional is PBE.

Cell: 4.4435 5.0543 6.2119 Å, 66.01 90.00 90.00°
Closest atoms and distances in Å follow each position.
Atoms (fractional coordinates):
Ir 0.0000 0.6663 0.5422  2 Os 2.40
Os 0.5000 0.5856 0.7042  2 Ir 2.40
Ba 0.0000 0.9795 0.9160  3 Ir 3.30-3.55, 4 Os 3.57
Ba 0.5000 0.2686 0.3376  3 Os 3.27-3.60, 4 Ir 3.56

Results
**Spin magnetization**: 0.0 μB/f.u.
**SG**: Amm2



Which structure is most stable, and how do the rest compare? From most to least stable: <x>, <w>.